# 1
! ZnPb3O GGA-PBE optimized geometry; values from VASP
! **Raw total energy**: -3.615 eV/atom
! **Crystal system**: cubic
&SYSTEM
  ibrav = 0, nat = 5, ntyp = 3
/
ATOMIC_SPECIES
O 16.00 O.upf
Pb 207.20 Pb.upf
Zn 65.41 Zn.upf
CELL_PARAMETERS angstrom
4.985 0.000 0.000
0.000 4.985 0.000
0.000 0.000 4.985
ATOMIC_POSITIONS angstrom
O 2.493 2.493 2.493
Pb 2.493 2.493 0.000
Pb 2.493 0.000 2.493
Pb 0.000 2.493 2.493
Zn 0.000 0.000 0.000

=====

# 2
! ZrPbO3 GGA-PBE optimized geometry; values from VASP
! **Raw total energy**: -7.853 eV/atom
! **Crystal system**: orthorhombic
! **Total moment**: 0.0 μB per cell
&SYSTEM
  ibrav = 0, nat = 40, ntyp = 3
/
ATOMIC_SPECIES
O 16.00 O.upf
Pb 207.20 Pb.upf
Zr 91.22 Zr.upf
CELL_PARAMETERS angstrom
5.918 0.000 0.000
0.000 11.864 0.000
0.000 0.000 8.229
ATOMIC_POSITIONS angstrom
O 1.629 1.891 0.050
O 4.588 4.042 0.050
O 1.330 7.823 0.050
O 4.289 9.974 0.050
O 2.959 0.000 1.714
O 0.000 5.932 1.714
O 0.000 0.000 1.934
O 2.959 5.932 1.934
O 3.123 2.844 2.404
O 0.164 3.088 2.404
O 5.754 8.776 2.404
O 2.795 9.020 2.404
O 1.778 1.093 4.167
O 4.737 4.839 4.167
O 1.181 7.026 4.167
O 4.141 10.771 4.167
O 3.186 2.798 5.964
O 0.226 3.134 5.964
O 5.692 8.730 5.964
O 2.733 9.067 5.964
O 0.000 0.000 6.426
O 2.959 5.932 6.426
O 2.959 0.000 6.644
O 0.000 5.932 6.644
Pb 4.165 1.457 0.021
Pb 1.206 4.476 0.021
Pb 4.712 7.389 0.021
Pb 1.753 10.408 0.021
Pb 4.217 1.518 4.131
Pb 1.258 4.414 4.131
Pb 4.660 7.450 4.131
Pb 1.701 10.347 4.131
Zr 1.431 1.478 2.097
Zr 4.390 4.454 2.097
Zr 1.528 7.410 2.097
Zr 4.487 10.386 2.097
Zr 1.437 1.478 6.216
Zr 4.396 4.454 6.216
Zr 1.522 7.411 6.216
Zr 4.481 10.386 6.216

=====

# 3
! ZrPbO3 GGA-PBE optimized geometry; values from VASP
! **Raw total energy**: -7.842 eV/atom
! **Crystal system**: orthorhombic
! **Total moment**: 0.0 μB per cell
&SYSTEM
  ibrav = 0, nat = 20, ntyp = 3
/
ATOMIC_SPECIES
O 16.00 O.upf
Pb 207.20 Pb.upf
Zr 91.22 Zr.upf
CELL_PARAMETERS angstrom
-0.476 0.805 -5.724
5.181 -2.693 -0.809
-3.885 -7.266 -0.699
ATOMIC_POSITIONS angstrom
O 1.016 -0.485 -4.319
O 3.567 -1.766 -5.194
O 1.514 -3.067 -0.991
O 3.937 -4.130 -3.412
O -0.631 -3.566 -4.616
O 1.920 -4.846 -5.490
O -1.100 -4.307 -1.742
O 1.451 -5.587 -2.617
O -3.117 -5.024 -3.820
O -0.694 -6.087 -6.241
O -2.747 -7.388 -2.038
O -0.196 -8.668 -2.913
Pb -1.313 -1.084 -5.889
Pb 1.510 -2.824 -3.492
Pb -0.690 -6.329 -3.740
Pb 2.133 -8.069 -1.343
Zr -0.238 0.402 -2.862
Zr 2.590 -1.346 -0.405
Zr -2.181 -3.230 -3.212
Zr 0.648 -4.979 -0.754

=====

> raw total energy of number 1 (ZnPb3O)?

-3.615 eV/atom

=====

> Among the records above, which one has the lowest raw total energy?

number 2